Entry 1:
A relaxed structure of TbCe3Tc. Source: Alexandria via LeMat-Bulk, functional PBE-GGA.

## Properties
**Energy**: -6.5675 eV per atom
**Distance to the lowest polymorph of the same formula**: 0 meV per atom
**Calculated formation energy**: -8 meV per atom
**Total moment**: 0.000 μB/f.u.

Cell: 3.3979 6.2413 11.9006 Å, 88.93 88.08 75.46°
Last column: nearest neighbours and their distance in Å.
Space group P-1 (No. 2)
Asymmetric unit:
Tb1 0.2335 0.0580 0.2609 [2 per cell]  2 Tc 3.05-3.15, 3 Ce 3.31-3.39, 2 Tb 3.40
Ce1 0.0720 0.4183 0.8223 [2 per cell]  2 Ce 2.88-3.12, 2 Tc 2.90-3.08
Ce2 0.1543 0.2218 0.5377 [2 per cell]  4 Tc 2.78-3.01
Ce3 0.2941 0.7807 0.9954 [2 per cell]  3 Ce 2.88-3.12
Tc1 0.4771 0.5729 0.6300 [2 per cell]  6 Ce 2.78-3.08, 1 Tb 3.05

***

Entry 2:
A relaxed structure of MgSiIrOs. Source: Alexandria via LeMat-Bulk, functional PBE-GGA.

## Properties
**Energy**: -7.0818 eV per atom
**Energy relative to the elements, uncorrected**: -0.3047 eV/atom
**Total moment**: 0.000 μB/f.u.

Cell: 6.0237 6.0237 6.0237 Å, 90.00 90.00 90.00°
Last column: nearest neighbours and their distance in Å.
Space group F-43m (No. 216)
Asymmetric unit:
Mg1 0.0000 0.0000 0.0000 [4 per cell]  4 Os 2.61, 4 Ir 2.61
Si1 0.0000 0.0000 0.5000 [4 per cell]  4 Os 2.61, 4 Ir 2.61
Ir1 0.2500 0.2500 0.7500 [4 per cell]  4 Mg 2.61, 4 Si 2.61
Os1 0.2500 0.2500 0.2500 [4 per cell]  4 Mg 2.61, 4 Si 2.61

***

Entry 3:
A relaxed structure of B3IF. Source: Alexandria via LeMat-Bulk, functional PBE-GGA.

## Properties
**Energy**: -2.6699 eV per atom
**Distance to the lowest polymorph of the same formula**: 0 meV per atom
**Energy relative to the elements, uncorrected**: 2.0209 eV/atom
**Total moment**: 0.000 μB/f.u.

Cell: 4.3127 4.3127 4.3127 Å, 90.00 90.00 90.00°
Last column: nearest neighbours and their distance in Å.
Space group Pm-3m (No. 221)
Asymmetric unit:
B1 0.0000 0.0000 0.5000 [3 per cell]  2 F 2.16
I1 0.5000 0.5000 0.5000 [1 per cell]  12 B 3.05
F1 0.0000 0.0000 0.0000 [1 per cell]  6 B 2.16